[1]
# RePdPt

An optimized crystal structure of RePdPt (PBE, Alexandria via LeMat-Bulk).

## Properties
Its energy relative to the lowest polymorph listed for this composition is 74.6 meV/atom. The calculation puts the total magnetization at 0.00 μB/f.u. Its calculated formation energy is -35 meV/atom. The value obtained for the energy is -7.9284 eV per atom.

Lattice parameters (Å, degrees): 6.911 6.911 4.855 96.37 96.37 23.36
Sites, in units of the cell vectors:
Re 0.000 0.000 0.000
Re 0.500 0.500 0.493
Pd 0.161 0.161 0.381
Pd 0.837 0.837 0.278
Pt 0.339 0.339 0.780
Pt 0.659 0.659 0.876



[2]
# RePd2Pt

An optimized crystal structure of RePd2Pt (PBE, Alexandria via LeMat-Bulk).

## Properties
Its energy relative to the lowest polymorph listed for this composition is 718.0 meV/atom. The calculation puts the total magnetization at 0.32 μB/f.u. Its calculated formation energy is 647 meV/atom. The value obtained for the energy is -6.5720 eV per atom.

Lattice parameters (Å, degrees): 5.689 5.689 5.689 102.65 102.65 124.19
Sites, in units of the cell vectors:
Re 0.000 0.000 0.000
Re 0.750 0.250 0.500
Pd 0.106 0.125 0.481
Pd 0.375 0.894 0.019
Pd 0.644 0.625 0.519
Pd 0.875 0.356 0.981
Pt 0.250 0.750 0.500
Pt 0.500 0.500 0.000



[3]
# RePdPt

An optimized crystal structure of RePdPt (PBE, Alexandria via LeMat-Bulk).

## Properties
Its energy relative to the lowest polymorph listed for this composition is 8.5 meV/atom. The calculation puts the total magnetization at 0.00 μB/f.u. Its calculated formation energy is -101 meV/atom. The value obtained for the energy is -7.9945 eV per atom.

Lattice parameters (Å, degrees): 2.734 3.986 8.382 90.00 90.60 90.00
Sites, in units of the cell vectors:
Re 0.214 0.250 0.079
Re 0.786 0.750 0.921
Pd 0.247 0.250 0.413
Pd 0.753 0.750 0.587
Pt 0.257 0.250 0.757
Pt 0.743 0.750 0.243



[4]
# RePd2Pt

An optimized crystal structure of RePd2Pt (PBE, Alexandria via LeMat-Bulk).

## Properties
Its energy relative to the lowest polymorph listed for this composition is 387.2 meV/atom. The calculation puts the total magnetization at 0.00 μB/f.u. Its calculated formation energy is 316 meV/atom. The value obtained for the energy is -6.9029 eV per atom.

Lattice parameters (Å, degrees): 4.422 4.422 4.422 60.00 60.00 60.00
Sites, in units of the cell vectors:
Re 0.000 0.000 0.000
Pd 0.250 0.250 0.250
Pd 0.750 0.750 0.750
Pt 0.500 0.500 0.500



[5]
# RePdPtRh

An optimized crystal structure of RePdPtRh (PBE, Alexandria via LeMat-Bulk).

## Properties
The calculation puts the total magnetization at 0.00 μB/f.u. Its calculated formation energy is -134 meV/atom. The value obtained for the energy is -7.8922 eV per atom.

Lattice parameters (Å, degrees): 2.748 2.748 7.921 90.00 90.00 90.00
Sites, in units of the cell vectors:
Re 0.000 0.000 0.000
Pd 0.000 0.000 0.510
Pt 0.500 0.500 0.246
Rh 0.500 0.500 0.770



[6]
# RePdRuPt

An optimized crystal structure of RePdRuPt (PBE, Alexandria via LeMat-Bulk).

## Properties
The calculation puts the total magnetization at 0.00 μB/f.u. Its calculated formation energy is -62 meV/atom. The value obtained for the energy is -8.3018 eV per atom.

Lattice parameters (Å, degrees): 2.766 2.766 7.834 90.00 90.00 90.00
Sites, in units of the cell vectors:
Re 0.000 0.000 0.000
Pd 0.000 0.000 0.482
Ru 0.500 0.500 0.222
Pt 0.500 0.500 0.747



[7]
# RePdPtSe2

An optimized crystal structure of RePdPtSe2 (PBE, Alexandria via LeMat-Bulk).

## Properties
The formation energy (no corrections) comes out at 691 kJ/mol of formula units. The calculation puts the total magnetization at 4.25 μB/f.u. The value obtained for the energy is -4.6986 eV per atom.

Lattice parameters (Å, degrees): 4.846 4.846 5.147 90.00 90.00 90.00
Sites, in units of the cell vectors:
Re 0.000 0.000 0.000
Pd 0.500 0.500 0.000
Pt 0.000 0.000 0.500
Se 0.000 0.500 0.500
Se 0.500 0.000 0.500



[8]
# TlRePdPt2

An optimized crystal structure of TlRePdPt2 (PBE, Alexandria via LeMat-Bulk).

## Properties
The calculation puts the total magnetization at 4.01 μB/f.u. Its calculated formation energy is 2170 meV/atom. The value obtained for the energy is -4.2474 eV per atom.

Lattice parameters (Å, degrees): 4.987 4.987 5.117 90.00 90.00 90.00
Sites, in units of the cell vectors:
Tl 0.000 0.000 0.000
Re 0.000 0.000 0.500
Pd 0.500 0.500 0.500
Pt 0.000 0.500 0.000
Pt 0.500 0.000 0.000



[9]
# ZrRePdPt2

An optimized crystal structure of ZrRePdPt2 (PBE, Alexandria via LeMat-Bulk).

## Properties
The calculation puts the total magnetization at 1.83 μB/f.u. Its calculated formation energy is 1571 meV/atom. The value obtained for the energy is -6.0829 eV per atom.

Lattice parameters (Å, degrees): 4.908 4.908 4.815 90.00 90.00 90.00
Sites, in units of the cell vectors:
Zr 0.000 0.000 0.000
Re 0.000 0.000 0.500
Pd 0.500 0.500 0.500
Pt 0.000 0.500 0.000
Pt 0.500 0.000 0.000



[10]
# Pd3Pt8Rh

An optimized crystal structure of Pd3Pt8Rh (PBE, Alexandria via LeMat-Bulk).

## Properties
Its energy relative to the lowest polymorph listed for this composition is 0.0 meV/atom. The calculation puts the total magnetization at 0.00 μB/f.u. Its calculated formation energy is 10 meV/atom. The value obtained for the energy is -5.9283 eV per atom.

Lattice parameters (Å, degrees): 4.792 5.586 7.644 111.41 101.93 90.14
Sites, in units of the cell vectors:
Pd 0.000 0.000 0.000
Pd 0.028 0.584 0.663
Pd 0.263 0.917 0.331
Pt 0.000 0.499 0.003
Pt 0.026 0.082 0.659
Pt 0.264 0.421 0.334
Pt 0.500 0.251 0.001
Pt 0.504 0.748 0.002
Pt 0.528 0.334 0.664
Pt 0.529 0.836 0.665
Pt 0.761 0.168 0.331
Rh 0.762 0.666 0.332



[11]
# Pd5Pt4Rh

An optimized crystal structure of Pd5Pt4Rh (PBE, Alexandria via LeMat-Bulk).

## Properties
The calculation puts the total magnetization at 1.69 μB/f.u. Its calculated formation energy is -21 meV/atom. The value obtained for the energy is -5.7693 eV per atom.

Lattice parameters (Å, degrees): 7.382 7.382 7.891 105.39 105.39 21.73
Sites, in units of the cell vectors:
Pd 0.000 0.000 0.000
Pd 0.198 0.198 0.097
Pd 0.401 0.401 0.698
Pd 0.599 0.599 0.302
Pd 0.802 0.802 0.903
Pt 0.201 0.201 0.601
Pt 0.401 0.401 0.206
Pt 0.599 0.599 0.794
Pt 0.799 0.799 0.399
Rh 0.000 0.000 0.500



[12]
# PdPt2Rh2

An optimized crystal structure of PdPt2Rh2 (PBE, Alexandria via LeMat-Bulk).

## Properties
Its energy relative to the lowest polymorph listed for this composition is 129.6 meV/atom. The calculation puts the total magnetization at 0.00 μB/f.u. Its calculated formation energy is 216 meV/atom. The value obtained for the energy is -6.1793 eV per atom.

Lattice parameters (Å, degrees): 7.628 7.628 2.749 90.00 90.00 90.00
Sites, in units of the cell vectors:
Pd 0.000 0.000 0.000
Pd 0.500 0.500 0.000
Pt 0.176 0.324 0.500
Pt 0.324 0.824 0.500
Pt 0.676 0.176 0.500
Pt 0.824 0.676 0.500
Rh 0.121 0.621 0.000
Rh 0.379 0.121 0.000
Rh 0.621 0.879 0.000
Rh 0.879 0.379 0.000



[13]
# Pd2Pt2Rh

An optimized crystal structure of Pd2Pt2Rh (PBE, Alexandria via LeMat-Bulk).

## Properties
Its energy relative to the lowest polymorph listed for this composition is 2.3 meV/atom. The calculation puts the total magnetization at 1.06 μB/f.u. Its calculated formation energy is 3 meV/atom. The value obtained for the energy is -5.9607 eV per atom.

Lattice parameters (Å, degrees): 4.815 4.815 6.215 130.10 130.10 48.16
Sites, in units of the cell vectors:
Pd 0.101 0.101 0.401
Pd 0.899 0.899 0.599
Pt 0.297 0.297 0.195
Pt 0.703 0.703 0.805
Rh 0.500 0.500 0.000



[14]
# Pd2Pt3Rh4

An optimized crystal structure of Pd2Pt3Rh4 (PBE, Alexandria via LeMat-Bulk).

## Properties
The calculation puts the total magnetization at 0.00 μB/f.u. Its calculated formation energy is 386 meV/atom. The value obtained for the energy is -6.0484 eV per atom.

Lattice parameters (Å, degrees): 7.240 7.240 4.531 104.84 104.84 43.59
Sites, in units of the cell vectors:
Pd 0.246 0.754 0.000
Pd 0.754 0.246 0.000
Pt 0.176 0.176 0.301
Pt 0.500 0.500 0.500
Pt 0.824 0.824 0.699
Rh 0.078 0.591 0.222
Rh 0.409 0.922 0.778
Rh 0.591 0.078 0.222
Rh 0.922 0.409 0.778



[15]
# PdPt6Rh5

An optimized crystal structure of PdPt6Rh5 (PBE, Alexandria via LeMat-Bulk).

## Properties
The calculation puts the total magnetization at 0.00 μB/f.u. Its calculated formation energy is -17 meV/atom. The value obtained for the energy is -6.5330 eV per atom.

Lattice parameters (Å, degrees): 7.325 7.325 7.325 149.06 115.27 73.47
Sites, in units of the cell vectors:
Pd 0.000 0.000 0.000
Pt 0.084 0.833 0.251
Pt 0.254 0.500 0.754
Pt 0.419 0.167 0.251
Pt 0.581 0.833 0.749
Pt 0.746 0.500 0.246
Pt 0.916 0.167 0.749
Rh 0.168 0.668 0.500
Rh 0.332 0.332 0.000
Rh 0.500 0.000 0.500
Rh 0.668 0.668 0.000
Rh 0.832 0.332 0.500



[16]
# PdPt5Rh3

An optimized crystal structure of PdPt5Rh3 (PBE, Alexandria via LeMat-Bulk).

## Properties
The calculation puts the total magnetization at 0.00 μB/f.u. Its calculated formation energy is 395 meV/atom. The value obtained for the energy is -5.9880 eV per atom.

Lattice parameters (Å, degrees): 8.315 8.315 8.315 133.36 133.36 68.09
Sites, in units of the cell vectors:
Pd 0.250 0.750 0.500
Pd 0.750 0.250 0.500
Pt 0.000 0.000 0.000
Pt 0.085 0.585 0.970
Pt 0.115 0.085 0.500
Pt 0.385 0.885 0.970
Pt 0.415 0.385 0.500
Pt 0.500 0.500 0.000
Pt 0.585 0.615 0.500
Pt 0.615 0.115 0.030
Pt 0.885 0.915 0.500
Pt 0.915 0.415 0.030
Rh 0.122 0.378 0.500
Rh 0.250 0.250 0.000
Rh 0.378 0.878 0.257
Rh 0.622 0.122 0.743
Rh 0.750 0.750 0.000
Rh 0.878 0.622 0.500



[17]
# PdPt2Rh2

An optimized crystal structure of PdPt2Rh2 (PBE, Alexandria via LeMat-Bulk).

## Properties
Its energy relative to the lowest polymorph listed for this composition is 0.0 meV/atom. The calculation puts the total magnetization at 0.00 μB/f.u. Its calculated formation energy is 87 meV/atom. The value obtained for the energy is -6.3089 eV per atom.

Lattice parameters (Å, degrees): 7.154 7.154 7.154 142.96 135.14 59.53
Sites, in units of the cell vectors:
Pd 0.366 0.116 0.250
Pd 0.634 0.884 0.750
Pt 0.129 0.879 0.250
Pt 0.250 0.500 0.750
Pt 0.750 0.500 0.250
Pt 0.871 0.121 0.750
Rh 0.188 0.687 0.500
Rh 0.313 0.313 0.000
Rh 0.687 0.687 0.000
Rh 0.812 0.313 0.500



[18]
# Pd2Pt5Rh3

An optimized crystal structure of Pd2Pt5Rh3 (PBE, Alexandria via LeMat-Bulk).

## Properties
The calculation puts the total magnetization at 0.00 μB/f.u. Its calculated formation energy is 366 meV/atom. The value obtained for the energy is -5.8986 eV per atom.

Lattice parameters (Å, degrees): 8.547 8.547 8.547 104.82 86.04 144.42
Sites, in units of the cell vectors:
Pd 0.246 0.126 0.373
Pd 0.254 0.626 0.880
Pd 0.746 0.374 0.120
Pd 0.754 0.874 0.627
Pt 0.154 0.382 0.536
Pt 0.250 0.250 0.000
Pt 0.250 0.502 0.252
Pt 0.250 0.998 0.748
Pt 0.346 0.882 0.228
Pt 0.654 0.118 0.772
Pt 0.750 0.002 0.252
Pt 0.750 0.498 0.748
Pt 0.750 0.750 0.000
Pt 0.846 0.618 0.464
Rh 0.149 0.873 0.022
Rh 0.250 0.750 0.500
Rh 0.351 0.373 0.723
Rh 0.649 0.627 0.277
Rh 0.750 0.250 0.500
Rh 0.851 0.127 0.978



[19]
# PdPtRh

An optimized crystal structure of PdPtRh (PBE, Alexandria via LeMat-Bulk).

## Properties
Its energy relative to the lowest polymorph listed for this composition is 40.0 meV/atom. The calculation puts the total magnetization at 0.28 μB/f.u. Its calculated formation energy is 20 meV/atom. The value obtained for the energy is -6.1753 eV per atom.

Lattice parameters (Å, degrees): 6.161 6.161 6.161 153.92 153.92 37.21
Sites, in units of the cell vectors:
Pd 0.000 0.000 0.000
Pt 0.328 0.328 0.000
Rh 0.664 0.664 0.000



[20]
# PdPt6Rh2

An optimized crystal structure of PdPt6Rh2 (PBE, Alexandria via LeMat-Bulk).

## Properties
Its energy relative to the lowest polymorph listed for this composition is 0.0 meV/atom. The calculation puts the total magnetization at 0.00 μB/f.u. Its calculated formation energy is 25 meV/atom. The value obtained for the energy is -6.2131 eV per atom.

Lattice parameters (Å, degrees): 6.720 6.720 4.732 99.70 99.70 41.57
Sites, in units of the cell vectors:
Pd 0.000 0.000 0.000
Pt 0.114 0.114 0.554
Pt 0.225 0.225 0.113
Pt 0.445 0.445 0.224
Pt 0.555 0.555 0.776
Pt 0.775 0.775 0.887
Pt 0.886 0.886 0.446
Rh 0.335 0.335 0.669
Rh 0.665 0.665 0.331



[21]
# PdPtRh2

An optimized crystal structure of PdPtRh2 (PBE, Alexandria via LeMat-Bulk).

## Properties
Its energy relative to the lowest polymorph listed for this composition is 206.1 meV/atom. The calculation puts the total magnetization at 0.79 μB/f.u. Its calculated formation energy is 208 meV/atom. The value obtained for the energy is -6.2764 eV per atom.

Lattice parameters (Å, degrees): 4.404 4.404 4.404 60.00 60.00 60.00
Sites, in units of the cell vectors:
Pd 0.000 0.000 0.000
Pt 0.500 0.500 0.500
Rh 0.250 0.250 0.250
Rh 0.750 0.750 0.750



[22]
# PdPt4Rh4

An optimized crystal structure of PdPt4Rh4 (PBE, Alexandria via LeMat-Bulk).

## Properties
Its energy relative to the lowest polymorph listed for this composition is 641.0 meV/atom. The calculation puts the total magnetization at 0.00 μB/f.u. Its calculated formation energy is 641 meV/atom. The value obtained for the energy is -5.8881 eV per atom.

Lattice parameters (Å, degrees): 6.153 6.153 8.767 90.00 90.00 90.00
Sites, in units of the cell vectors:
Pd 0.250 0.750 0.250
Pd 0.750 0.250 0.750
Pt 0.035 0.250 0.115
Pt 0.250 0.035 0.615
Pt 0.250 0.465 0.615
Pt 0.465 0.250 0.115
Pt 0.535 0.750 0.885
Pt 0.750 0.535 0.385
Pt 0.750 0.965 0.385
Pt 0.965 0.750 0.885
Rh 0.037 0.250 0.400
Rh 0.250 0.037 0.900
Rh 0.250 0.463 0.900
Rh 0.463 0.250 0.400
Rh 0.537 0.750 0.600
Rh 0.750 0.537 0.100
Rh 0.750 0.963 0.100
Rh 0.963 0.750 0.600



[23]
# Pd6Pt2Rh

An optimized crystal structure of Pd6Pt2Rh (PBE, Alexandria via LeMat-Bulk).

## Properties
Its energy relative to the lowest polymorph listed for this composition is 0.0 meV/atom. The calculation puts the total magnetization at 0.00 μB/f.u. Its calculated formation energy is 74 meV/atom. The value obtained for the energy is -5.5474 eV per atom.

Lattice parameters (Å, degrees): 4.342 4.342 8.205 98.08 98.08 65.61
Sites, in units of the cell vectors:
Pd 0.000 0.000 0.168
Pd 0.000 0.000 0.832
Pd 0.333 0.333 0.391
Pd 0.333 0.333 0.720
Pd 0.667 0.667 0.280
Pd 0.667 0.667 0.609
Pt 0.333 0.333 0.055
Pt 0.667 0.667 0.945
Rh 0.000 0.000 0.500